Record 1
Ba2HgH6Pd, relaxed, DFT PBE; final energy = -3.306 eV/atom; crystal system = monoclinic
1.0
-3.383 -3.156 -3.648
4.558 -3.497 -1.309
-0.445 -5.838 0.660
Ba Hg H Pd
2 1 6 1
direct
0.750 0.250 0.500
0.250 0.750 0.500
0.000 0.000 0.000
0.287 0.287 0.427
0.714 0.714 0.000
0.286 0.714 0.000
0.714 0.286 0.000
0.286 0.286 0.000
0.713 0.713 0.573
0.500 0.500 0.000

Record 2
Ba2Hg2H4Pd, relaxed, DFT PBE; final energy = -2.840 eV/atom; crystal system = tetragonal
1.0
-2.688 -4.785 2.997
1.242 -0.740 -6.084
5.895 1.415 1.531
Ba Hg H Pd
2 2 4 1
direct
0.500 0.750 0.250
0.500 0.250 0.750
0.000 0.662 0.662
0.000 0.338 0.338
0.000 0.809 0.191
0.619 0.809 0.809
0.000 0.191 0.809
0.381 0.191 0.191
0.000 0.000 0.000

Record 3
Ba5Hg2HPt, relaxed, DFT PBE; final energy = -2.685 eV/atom; crystal system = orthorhombic
1.0
4.625 0.000 0.000
-2.313 10.130 0.000
0.000 0.000 14.940
Ba Hg H Pt
10 4 2 2
direct
0.354 0.708 0.010
0.689 0.377 0.878
0.498 0.997 0.779
0.290 0.580 0.667
0.953 0.907 0.517
0.646 0.292 0.510
0.311 0.623 0.378
0.502 0.003 0.279
0.710 0.420 0.167
0.047 0.093 0.017
0.870 0.740 0.826
0.111 0.222 0.690
0.130 0.260 0.326
0.889 0.778 0.190
0.557 0.113 0.935
0.443 0.887 0.435
0.800 0.599 0.522
0.200 0.401 0.022